Entry 1:
A plane-wave DFT calculation with PBE was carried out for Pm2PrNd2Tm2 after structural relaxation.

Summary:
Size of the total moment   0.00 μB per atom
DFT formation energy   2 kJ per mole of atoms
SG   C2/m, No. 12
Mass density   7.465 g/cm³

Cell: 5.121 6.253 8.132 Å, 97.44 90.00 114.17°
Positions (direct):
Nd  0.572  0.144  0.717
Pm  0.144  0.287  0.430
Pm  0.856  0.713  0.570
Tm  0.285  0.570  0.858
Pr  0.000  0.000  0.000
Tm  0.715  0.430  0.142
Nd  0.428  0.856  0.283

Entry 2:
A plane-wave DFT calculation with PBE was carried out for PmPr2Nd3Tm6 after structural relaxation.

Summary:
Size of the total moment   0.00 μB per atom
DFT formation energy   2 kJ per mole of atoms
SG   C2/m, No. 12
Mass density   7.998 g/cm³

Cell: 6.233 6.233 11.739 Å, 95.07 95.07 119.98°
Positions (direct):
Pr  0.667  0.333  0.000
Nd  0.500  0.500  0.500
Pr  0.333  0.667  0.000
Tm  0.084  0.417  0.250
Tm  0.583  0.916  0.750
Nd  0.167  0.833  0.500
Tm  0.751  0.751  0.250
Pm  0.000  0.000  0.000
Tm  0.249  0.249  0.750
Tm  0.417  0.084  0.250
Tm  0.916  0.583  0.750
Nd  0.833  0.167  0.500

Entry 3:
A plane-wave DFT calculation with PBE was carried out for Pm4PrNd2Tm after structural relaxation.

Summary:
Size of the total moment   0.00 μB per atom
DFT formation energy   36 kJ per mole of atoms
SG   C2/c, No. 15
Mass density   7.007 g/cm³

Cell: 9.642 9.642 11.977 Å, 128.32 128.32 88.40°
Positions (direct):
Pm  0.757  0.242  0.999
Pm  0.258  0.743  0.501
Tm  0.500  0.500  0.500
Nd  0.500  0.000  0.500
Nd  0.500  0.500  0.000
Pm  0.235  0.235  0.480
Pr  0.000  0.500  0.500
Pm  0.742  0.257  0.499
Pm  0.265  0.265  0.020
Nd  0.500  0.000  0.000
Pm  0.735  0.735  0.980
Nd  0.000  0.000  0.500
Tm  0.000  0.000  0.000
Pm  0.243  0.758  0.001
Pm  0.765  0.765  0.520
Pr  0.000  0.500  0.000

Entry 4:
A plane-wave DFT calculation with PBE was carried out for PmPr2Nd2Tm2 after structural relaxation.

Summary:
Size of the total moment   0.00 μB per atom
DFT formation energy   2 kJ per mole of atoms
SG   C2/m, No. 12
Mass density   7.375 g/cm³

Cell: 5.134 6.276 8.147 Å, 97.47 90.00 114.14°
Positions (direct):
Tm  0.715  0.430  0.140
Nd  0.144  0.288  0.429
Pm  0.000  0.000  0.000
Tm  0.285  0.570  0.860
Nd  0.856  0.712  0.571
Pr  0.429  0.857  0.280
Pr  0.571  0.143  0.720